Record 1
Entry from the Alexandria database: BaZrIr2 after structural relaxation (PBE).

DFT formation energy: 0.1471 eV/atom
Offset from the most stable computed form: 0.516 eV per atom
V: 89.11 Å³/f.u.
Magnetic moment: 0.00 μB/f.u.

Cell lengths 6.203, 6.203, 6.203 Å; angles 150.61, 129.97, 59.09 degrees
Element x y z (fractional)
1 Ir 0.749 0.249 0.500
2 Ir 0.961 0.961 0.000
3 Ba 0.243 0.743 0.500
4 Zr 0.547 0.547 0.000



Record 2
Entry from the Alexandria database: BaZrIr2 after structural relaxation (PBE).

DFT formation energy: -0.2508 eV/atom
Offset from the most stable computed form: 0.118 eV per atom
V: 103.68 Å³/f.u.
Magnetic moment: 0.00 μB/f.u.

Cell lengths 4.481, 4.481, 6.497 Å; angles 69.86, 69.86, 60.00 degrees
Element x y z (fractional)
1 Zr 0.750 0.750 0.750
2 Ir 0.044 0.044 0.868
3 Ir 0.456 0.456 0.632
4 Ba 0.250 0.250 0.250



Record 3
Entry from the Alexandria database: Ba2ZrIr after structural relaxation (PBE).

DFT formation energy: -0.0467 eV/atom
Offset from the most stable computed form: 0.064 eV per atom
V: 142.79 Å³/f.u.
Magnetic moment: 0.00 μB/f.u.

Cell lengths 10.020, 10.020, 10.020 Å; angles 159.10, 156.54, 31.62 degrees
Element x y z (fractional)
1 Zr 0.250 0.750 0.500
2 Ir 0.750 0.250 0.500
3 Ba 0.900 0.900 0.000
4 Ba 0.600 0.600 0.000



Record 4
Entry from the Alexandria database: BaZr2Ir after structural relaxation (PBE).

DFT formation energy: 0.5171 eV/atom
Offset from the most stable computed form: 0.681 eV per atom
V: 92.40 Å³/f.u.
Magnetic moment: 0.00 μB/f.u.

Cell lengths 5.949, 5.949, 5.949 Å; angles 138.23, 138.23, 60.55 degrees
Element x y z (fractional)
1 Ba 0.500 0.500 0.000
2 Ir 0.750 0.250 0.500
3 Zr 0.250 0.750 0.500
4 Zr 0.000 0.000 0.000



Record 5
Entry from the Alexandria database: Ba2ZrIr after structural relaxation (PBE).

DFT formation energy: 0.6609 eV/atom
Offset from the most stable computed form: 0.772 eV per atom
V: 113.35 Å³/f.u.
Magnetic moment: 0.00 μB/f.u.

Cell lengths 6.049, 7.125, 3.525 Å; angles 60.26, 90.04, 116.39 degrees
Element x y z (fractional)
1 Zr 0.500 0.000 0.500
2 Ba 0.000 0.500 0.500
3 Ba 0.000 0.000 0.000
4 Ir 0.500 0.500 0.000



Record 6
Entry from the Alexandria database: BaZrIr2 after structural relaxation (PBE).

DFT formation energy: -0.3690 eV/atom
Offset from the most stable computed form: 0.000 eV per atom
V: 87.84 Å³/f.u.
Magnetic moment: 0.00 μB/f.u.

Cell lengths 3.294, 3.410, 8.527 Å; angles 66.52, 90.00, 90.00 degrees
Element x y z (fractional)
1 Zr 0.500 0.250 0.250
2 Ir 0.000 0.557 0.443
3 Ir 0.000 0.943 0.057
4 Ba 0.500 0.750 0.750



Record 7
Entry from the Alexandria database: BaZrIr after structural relaxation (PBE).

DFT formation energy: -0.0829 eV/atom
Offset from the most stable computed form: 0.394 eV per atom
V: 96.97 Å³/f.u.
Magnetic moment: 0.00 μB/f.u.

Cell lengths 4.140, 4.140, 6.534 Å; angles 90.00, 90.00, 120.00 degrees
Element x y z (fractional)
1 Ir 0.667 0.333 0.612
2 Zr 0.333 0.667 0.452
3 Ba 0.000 0.000 0.936



Record 8
Entry from the Alexandria database: BaZrIr after structural relaxation (PBE).

DFT formation energy: -0.4772 eV/atom
Offset from the most stable computed form: 0.000 eV per atom
V: 87.01 Å³/f.u.
Magnetic moment: 0.00 μB/f.u.

Cell lengths 4.702, 4.702, 7.870 Å; angles 90.00, 90.00, 90.00 degrees
Element x y z (fractional)
1 Ir 0.000 0.500 0.330
2 Ir 0.500 0.000 0.670
3 Ba 0.500 0.000 0.143
4 Ba 0.000 0.500 0.857
5 Zr 0.000 0.000 0.500
6 Zr 0.500 0.500 0.500



Record 9
Entry from the Alexandria database: BaZr2Ir after structural relaxation (PBE).

DFT formation energy: 0.0372 eV/atom
Offset from the most stable computed form: 0.202 eV per atom
V: 119.74 Å³/f.u.
Magnetic moment: 0.00 μB/f.u.

Cell lengths 8.601, 8.601, 8.601 Å; angles 156.46, 151.84, 37.02 degrees
Element x y z (fractional)
1 Zr 0.103 0.103 0.000
2 Zr 0.744 0.244 0.500
3 Ir 0.224 0.724 0.500
4 Ba 0.429 0.429 0.000



Record 10
Entry from the Alexandria database: BaZrIr2 after structural relaxation (PBE).

DFT formation energy: 0.1175 eV/atom
Offset from the most stable computed form: 0.486 eV per atom
V: 86.57 Å³/f.u.
Magnetic moment: 0.00 μB/f.u.

Cell lengths 4.965, 4.965, 4.965 Å; angles 60.00, 60.00, 60.00 degrees
Element x y z (fractional)
1 Zr 0.000 0.000 0.000
2 Ir 0.250 0.250 0.250
3 Ir 0.750 0.750 0.750
4 Ba 0.500 0.500 0.500



Record 11
Entry from the Alexandria database: BaZrIr2 after structural relaxation (PBE).

DFT formation energy: 0.0023 eV/atom
Offset from the most stable computed form: 0.371 eV per atom
V: 98.98 Å³/f.u.
Magnetic moment: 0.00 μB/f.u.

Cell lengths 5.311, 5.311, 6.189 Å; angles 79.87, 79.87, 35.22 degrees
Element x y z (fractional)
1 Ir 0.739 0.739 0.703
2 Ir 0.041 0.041 0.932
3 Zr 0.454 0.454 0.652
4 Ba 0.266 0.266 0.213



Record 12
Entry from the Alexandria database: BaZrIr2 after structural relaxation (PBE).

DFT formation energy: 0.1556 eV/atom
Offset from the most stable computed form: 0.525 eV per atom
V: 86.96 Å³/f.u.
Magnetic moment: 0.00 μB/f.u.

Cell lengths 3.236, 5.184, 5.184 Å; angles 90.00, 90.00, 90.00 degrees
Element x y z (fractional)
1 Ir 0.000 0.500 0.500
2 Ir 0.000 0.000 0.000
3 Zr 0.500 0.500 0.000
4 Ba 0.500 0.000 0.500



Record 13
Entry from the Alexandria database: Ba2ZrIr after structural relaxation (PBE).

DFT formation energy: -0.0744 eV/atom
Offset from the most stable computed form: 0.036 eV per atom
V: 135.12 Å³/f.u.
Magnetic moment: 0.00 μB/f.u.

Cell lengths 3.644, 3.644, 10.173 Å; angles 90.00, 90.00, 90.00 degrees
Element x y z (fractional)
1 Zr 0.500 0.500 0.661
2 Ba 0.000 0.000 0.945
3 Ba 0.500 0.500 0.329
4 Ir 0.000 0.000 0.565



Record 14
Entry from the Alexandria database: BaZr4Ir after structural relaxation (PBE).

DFT formation energy: 0.5738 eV/atom
V: 141.15 Å³/f.u.
Magnetic moment: 0.00 μB/f.u.

Cell lengths 5.844, 5.844, 5.844 Å; angles 60.00, 60.00, 60.00 degrees
Element x y z (fractional)
1 Ba 0.750 0.750 0.750
2 Zr 0.880 0.373 0.373
3 Zr 0.373 0.373 0.373
4 Zr 0.373 0.880 0.373
5 Zr 0.373 0.373 0.880
6 Ir 0.000 0.000 0.000



Record 15
Entry from the Alexandria database: Ba2ZrIr after structural relaxation (PBE).

DFT formation energy: 0.1145 eV/atom
Offset from the most stable computed form: 0.225 eV per atom
V: 180.34 Å³/f.u.
Magnetic moment: 0.00 μB/f.u.

Cell lengths 4.359, 8.533, 8.531 Å; angles 34.63, 90.00, 90.00 degrees
Element x y z (fractional)
1 Ba 0.000 0.116 0.115
2 Ba 0.000 0.384 0.385
3 Ir 0.500 0.250 0.250
4 Zr 0.500 0.750 0.750